[1]
# TiBe3Ru

Crystalline TiBe3Ru at its relaxed geometry (PBE-GGA, Alexandria via LeMat-Bulk).

Results
* polymorph energy (0 for the lowest one): 1392 meV per atom
* volume: 13.7 Å³ per atom
* formation enthalpy at 0 K: 1.723 eV per atom

a b c (Å): 4.0948 4.0948 4.0948
angles (deg): 90.00 90.00 90.00
Atoms (fractional coordinates):
Ti: 0.0000 0.0000 0.0000
Be: 0.0000 0.0000 0.5000
Be: 0.0000 0.5000 0.0000
Be: 0.5000 0.0000 0.0000
Ru: 0.5000 0.5000 0.5000

=====

[2]
# Ti3BeRu

Crystalline Ti3BeRu at its relaxed geometry (PBE-GGA, Alexandria via LeMat-Bulk).

Results
* polymorph energy (0 for the lowest one): 0 meV per atom
* volume: 15.7 Å³ per atom
* formation enthalpy at 0 K: 0.453 eV per atom

a b c (Å): 4.2846 4.2846 4.2846
angles (deg): 90.00 90.00 90.00
Atoms (fractional coordinates):
Ti: 0.0000 0.0000 0.5000
Ti: 0.0000 0.5000 0.0000
Ti: 0.5000 0.0000 0.0000
Be: 0.0000 0.0000 0.0000
Ru: 0.5000 0.5000 0.5000

=====

[3]
# Ti2BeRu2

Crystalline Ti2BeRu2 at its relaxed geometry (PBE-GGA, Alexandria via LeMat-Bulk).

Results
* volume: 15.0 Å³ per atom
* formation enthalpy at 0 K: -0.168 eV per atom

a b c (Å): 6.9630 6.9630 3.0898
angles (deg): 90.00 90.00 90.00
Atoms (fractional coordinates):
Ti: 0.1563 0.3437 0.0000
Ti: 0.3437 0.8437 0.0000
Ti: 0.6563 0.1563 0.0000
Ti: 0.8437 0.6563 0.0000
Be: 0.0000 0.0000 0.5000
Be: 0.5000 0.5000 0.5000
Ru: 0.1490 0.6490 0.5000
Ru: 0.3510 0.1490 0.5000
Ru: 0.6490 0.8510 0.5000
Ru: 0.8510 0.3510 0.5000

=====

[4]
# Ti4BeRu5

Crystalline Ti4BeRu5 at its relaxed geometry (PBE-GGA, Alexandria via LeMat-Bulk).

Results
* volume: 14.0 Å³ per atom
* formation enthalpy at 0 K: -0.653 eV per atom

a b c (Å): 3.0551 3.0551 14.9912
angles (deg): 90.00 90.00 90.00
Atoms (fractional coordinates):
Ti: 0.0000 0.0000 0.1048
Ti: 0.0000 0.0000 0.3143
Ti: 0.0000 0.0000 0.6857
Ti: 0.0000 0.0000 0.8952
Be: 0.0000 0.0000 0.5000
Ru: 0.5000 0.5000 0.0000
Ru: 0.5000 0.5000 0.2055
Ru: 0.5000 0.5000 0.4118
Ru: 0.5000 0.5000 0.5882
Ru: 0.5000 0.5000 0.7945

=====

[5]
# Ti2Be9Ru

Crystalline Ti2Be9Ru at its relaxed geometry (PBE-GGA, Alexandria via LeMat-Bulk).

Results
* volume: 9.7 Å³ per atom
* formation enthalpy at 0 K: -0.220 eV per atom

a b c (Å): 7.4585 7.4585 7.4585
angles (deg): 34.21 34.21 34.21
Atoms (fractional coordinates):
Ti: 0.1436 0.1436 0.1436
Ti: 0.8564 0.8564 0.8564
Be: 0.0791 0.5807 0.5807
Be: 0.3340 0.3340 0.3340
Be: 0.4193 0.4193 0.9209
Be: 0.4193 0.9209 0.4193
Be: 0.5000 0.5000 0.5000
Be: 0.5807 0.0791 0.5807
Be: 0.5807 0.5807 0.0791
Be: 0.6660 0.6660 0.6660
Be: 0.9209 0.4193 0.4193
Ru: 0.0000 0.0000 0.0000

=====

[6]
# Ti4BeRu3

Crystalline Ti4BeRu3 at its relaxed geometry (PBE-GGA, Alexandria via LeMat-Bulk).

Results
* volume: 14.2 Å³ per atom
* formation enthalpy at 0 K: -0.608 eV per atom

a b c (Å): 3.0741 3.0741 12.0339
angles (deg): 90.00 90.00 90.00
Atoms (fractional coordinates):
Ti: 0.0000 0.0000 0.1165
Ti: 0.0000 0.0000 0.3718
Ti: 0.0000 0.0000 0.6282
Ti: 0.0000 0.0000 0.8835
Be: 0.5000 0.5000 0.0000
Ru: 0.5000 0.5000 0.2419
Ru: 0.5000 0.5000 0.5000
Ru: 0.5000 0.5000 0.7581

=====

Repeat the fourth record exactly.
# Ti4BeRu5

Crystalline Ti4BeRu5 at its relaxed geometry (PBE-GGA, Alexandria via LeMat-Bulk).

Results
* volume: 14.0 Å³ per atom
* formation enthalpy at 0 K: -0.653 eV per atom

a b c (Å): 3.0551 3.0551 14.9912
angles (deg): 90.00 90.00 90.00
Atoms (fractional coordinates):
Ti: 0.0000 0.0000 0.1048
Ti: 0.0000 0.0000 0.3143
Ti: 0.0000 0.0000 0.6857
Ti: 0.0000 0.0000 0.8952
Be: 0.0000 0.0000 0.5000
Ru: 0.5000 0.5000 0.0000
Ru: 0.5000 0.5000 0.2055
Ru: 0.5000 0.5000 0.4118
Ru: 0.5000 0.5000 0.5882
Ru: 0.5000 0.5000 0.7945

=====

- Number 2 is which compound?
  Ti3BeRu

=====

- The highest formation enthalpy at 0 K belongs to which entry?
  TiBe3Ru